Entry 1:
{
  "formula": "CaPmLuIn",
  "functional": "PBE",
  "state": "relaxed",
  "lattice": [[-4.477, -1.093, 3.080], [-0.755, -5.079, 2.087], [0.528, -0.864, 5.450]],
  "species": ["Ca", "Lu", "Pm", "In"],
  "frac_coords": [[0.750, 0.750, 0.750], [0.250, 0.250, 0.250], [0.000, 0.000, 0.000], [0.500, 0.500, 0.500]],
  "crystal_system": "cubic",
  "delta_e_f_mev_per_atom": -29
}

Entry 2:
{
  "formula": "Tm2ZnPt",
  "functional": "PBE",
  "state": "relaxed",
  "lattice": [[4.917, 0.000, 0.000], [2.459, 4.258, 0.000], [2.459, 1.419, 4.015]],
  "species": ["Tm", "Tm", "Pt", "Zn"],
  "frac_coords": [[0.250, 0.250, 0.250], [0.750, 0.750, 0.750], [0.000, 0.000, 0.000], [0.500, 0.500, 0.500]],
  "crystal_system": "cubic",
  "delta_e_f_mev_per_atom": -837,
  "relative_energy_ev_per_atom": 0.011
}

Entry 3:
{
  "formula": "Ce2InGa2",
  "functional": "PBE",
  "state": "relaxed",
  "lattice": [[4.506, 0.000, 0.000], [0.000, 7.358, 0.000], [0.000, 0.000, 7.358]],
  "species": ["Ce", "Ce", "Ce", "Ce", "Ga", "Ga", "Ga", "Ga", "In", "In"],
  "frac_coords": [[0.500, 0.828, 0.328], [0.500, 0.172, 0.672], [0.500, 0.328, 0.172], [0.500, 0.672, 0.828], [0.000, 0.375, 0.875], [0.000, 0.625, 0.125], [0.000, 0.875, 0.625], [0.000, 0.125, 0.375], [0.000, 0.000, 0.000], [0.000, 0.500, 0.500]],
  "crystal_system": "tetragonal",
  "delta_e_f_mev_per_atom": -510
}

Entry 4:
{
  "formula": "Li4TaSi",
  "functional": "PBE",
  "state": "relaxed",
  "lattice": [[0.000, 3.469, 3.469], [3.469, 0.000, 3.469], [3.469, 3.469, 0.000]],
  "species": ["Li", "Li", "Li", "Li", "Ta", "Si"],
  "frac_coords": [[0.376, 0.871, 0.376], [0.376, 0.376, 0.871], [0.871, 0.376, 0.376], [0.376, 0.376, 0.376], [0.000, 0.000, 0.000], [0.750, 0.750, 0.750]],
  "e_form_raw_ev_per_atom": 0.39,
  "crystal_system": "cubic"
}

Entry 5:
{
  "formula": "RbZr4Se8",
  "functional": "PBE",
  "state": "relaxed",
  "lattice": [[-0.696, -0.164, 7.548], [-1.084, -6.604, 3.564], [8.000, -3.251, 4.475]],
  "species": ["Se", "Se", "Se", "Se", "Se", "Se", "Se", "Se", "Zr", "Zr", "Zr", "Zr", "Rb"],
  "frac_coords": [[0.772, 0.269, 0.186], [0.269, 0.772, 0.186], [0.728, 0.728, 0.815], [0.228, 0.731, 0.814], [0.772, 0.772, 0.186], [0.228, 0.228, 0.814], [0.731, 0.228, 0.814], [0.272, 0.272, 0.185], [0.500, 0.500, 0.000], [0.500, 0.000, 0.000], [0.000, 0.000, 0.000], [0.000, 0.500, 0.000], [0.500, 0.500, 0.500]],
  "e_form_raw_ev_per_atom": -1.41,
  "crystal_system": "trigonal",
  "relative_energy_ev_per_atom": 0.000
}

Entry 6:
{
  "formula": "Tb5TlRh4",
  "functional": "PBE",
  "state": "relaxed",
  "lattice": [[3.495, 0.000, 0.000], [0.000, 3.495, 0.000], [0.000, 0.000, 17.880]],
  "species": ["Tb", "Tb", "Tb", "Tb", "Tb", "Rh", "Rh", "Rh", "Rh", "Tl"],
  "frac_coords": [[0.500, 0.500, 0.311], [0.500, 0.500, 0.689], [0.500, 0.500, 0.876], [0.500, 0.500, 0.500], [0.500, 0.500, 0.124], [0.000, 0.000, 0.594], [0.000, 0.000, 0.785], [0.000, 0.000, 0.215], [0.000, 0.000, 0.406], [0.000, 0.000, 0.000]],
  "crystal_system": "tetragonal",
  "delta_e_f_mev_per_atom": -740
}

Entry 7:
{
  "formula": "TmPuSnHg",
  "functional": "PBE",
  "state": "relaxed",
  "lattice": [[5.292, 0.000, 0.000], [2.646, 4.583, 0.000], [2.646, 1.528, 4.321]],
  "species": ["Tm", "Hg", "Sn", "Pu"],
  "frac_coords": [[0.500, 0.500, 0.500], [0.750, 0.750, 0.750], [0.250, 0.250, 0.250], [0.000, 0.000, 0.000]],
  "crystal_system": "cubic",
  "delta_e_f_mev_per_atom": -376
}

Entry 8:
{
  "formula": "LaInSi2",
  "functional": "PBE",
  "state": "relaxed",
  "lattice": [[-4.464, -2.553, -0.334], [-2.801, -2.915, 3.196], [-4.033, 2.973, 2.205]],
  "species": ["Si", "Si", "La", "In"],
  "frac_coords": [[0.492, 0.492, 0.608], [0.008, 0.008, 0.892], [0.250, 0.250, 0.250], [0.750, 0.750, 0.750]],
  "e_form_raw_ev_per_atom": -0.27,
  "crystal_system": "monoclinic"
}

Entry 9:
{
  "formula": "NaBiP",
  "functional": "PBE",
  "state": "relaxed",
  "lattice": [[-3.960, 1.646, -0.483], [0.381, -0.480, -4.763], [-1.810, -3.582, 2.637]],
  "species": ["P", "Bi", "Na"],
  "frac_coords": [[0.166, 0.333, 0.667], [0.167, 0.000, 0.000], [0.667, 0.667, 0.333]],
  "crystal_system": "trigonal",
  "delta_e_f_mev_per_atom": 28
}

Entry 10:
{
  "formula": "LiAg5F5",
  "functional": "PBE",
  "state": "relaxed",
  "lattice": [[-2.435, 0.496, 3.949], [-2.817, 1.216, -4.662], [-0.630, -6.825, 0.380]],
  "species": ["F", "F", "F", "F", "F", "Li", "Ag", "Ag", "Ag", "Ag", "Ag"],
  "frac_coords": [[0.845, 0.691, 0.151], [0.850, 0.721, 0.742], [0.150, 0.279, 0.258], [0.155, 0.309, 0.849], [0.500, 0.000, 0.000], [0.000, 0.000, 0.000], [0.312, 0.645, 0.652], [0.000, 0.000, 0.500], [0.383, 0.767, 0.264], [0.617, 0.233, 0.736], [0.688, 0.355, 0.348]],
  "e_form_raw_ev_per_atom": -1.20,
  "crystal_system": "triclinic"
}

Entry 11:
{
  "formula": "Co2OsPt",
  "functional": "PBE",
  "state": "relaxed",
  "lattice": [[-0.949, 2.757, -3.522], [-2.775, 0.832, -3.538], [-2.961, 2.791, 1.982]],
  "species": ["Os", "Pt", "Co", "Co"],
  "frac_coords": [[0.495, 0.495, 0.517], [0.250, 0.250, 0.245], [0.749, 0.749, 0.750], [0.005, 0.005, 0.989]],
  "crystal_system": "monoclinic",
  "delta_e_f_mev_per_atom": 105
}

Entry 12:
{
  "formula": "RbPtSeBr2",
  "functional": "PBE",
  "state": "relaxed",
  "lattice": [[6.274, 0.000, 0.000], [0.000, 6.274, 0.000], [0.000, 0.000, 6.264]],
  "species": ["Pt", "Rb", "Br", "Br", "Se"],
  "frac_coords": [[0.500, 0.500, 0.500], [0.000, 0.000, 0.000], [0.500, 0.000, 0.000], [0.000, 0.500, 0.000], [0.000, 0.000, 0.500]],
  "e_form_raw_ev_per_atom": 1.03,
  "crystal_system": "tetragonal",
  "relative_energy_ev_per_atom": 1.602
}

no.,final energy (eV for the cell shown)
1,-14.13
2,-19.61
3,-46.42
4,-22.57
5,-81.32
6,-62.32
7,-24.61
8,-19.59
9,-10.53
10,-38.73
11,-31.06
12,-8.69